LiMo2Au | SCAN | PBEsol geometry

Properties
Calculated total energy ... -35.27 eV/atom
Fermi-level density of states ... 0.615 states/eV/atom
DFT formation energy ... 0.0620 eV/atom
Energy relative to the lowest polymorph listed for this composition ... 0.000 eV per atom

Structure (POSCAR):
```
LiMo2Au
1.0
-1.661 1.950 4.484
1.661 -1.950 4.484
1.661 1.950 -4.484
Li Mo Au
1 2 1
Direct
0.000 0.000 0.000
0.247 0.747 0.500
0.753 0.253 0.500
0.500 0.500 0.000
```